No. 1
NaLa3Co (SCAN, PBEsol geometry); E_form = 0.0530 eV/atom; DOS(E_F) = 5.57 states/eV/cell; mass density = 5.2 Mg/m³; final energy = -30.11 eV per atom; magnetization = 0.003 μB per cell; calculated volume = 159.1 Å³/f.u.
1.0
-4.046 3.535 0.700
-2.581 -3.578 3.147
2.515 2.016 4.355
Na Co La
1 1 3
direct
0.500 0.500 0.500
0.000 0.000 0.000
0.000 0.500 0.000
0.000 0.000 0.500
0.500 0.000 0.000

***

No. 2
La3NbCo (SCAN, PBEsol geometry); E_form = 0.4115 eV/atom; DOS(E_F) = 3.83 states/eV/cell; mass density = 6.8 Mg/m³; final energy = -35.54 eV per atom; magnetization = 3.892 μB per cell; calculated volume = 139.6 Å³/f.u.
1.0
-5.181 0.184 0.198
-0.041 -4.284 2.925
0.267 2.920 4.280
Nb Co La
1 1 3
direct
0.500 0.500 0.500
0.000 0.000 0.000
0.000 0.500 0.000
0.000 0.000 0.500
0.500 0.000 0.000

***

No. 3
LaNdCo2O6 (SCAN, PBEsol geometry); mass density = 7.7 Mg/m³; final energy = -18.54 eV per atom; magnetization = 0.151 μB per cell; formation energy without anion corrections = -2.668 eV per atom; calculated volume = 107.1 Å³/f.u.
1.0
5.344 0.000 0.000
0.000 5.318 0.000
0.000 0.000 7.539
La Nd Co O
2 2 4 12
direct
0.245 0.469 0.500
0.755 0.969 0.500
0.258 0.540 0.000
0.742 0.040 0.000
0.751 0.502 0.752
0.249 0.002 0.248
0.751 0.502 0.248
0.249 0.002 0.752
0.532 0.783 0.209
0.468 0.283 0.791
0.964 0.214 0.718
0.036 0.714 0.282
0.964 0.214 0.282
0.036 0.714 0.718
0.532 0.783 0.791
0.468 0.283 0.209
0.177 0.992 0.000
0.823 0.492 0.000
0.314 0.003 0.500
0.686 0.503 0.500

***

No. 4
LaCo2Ni3 (SCAN, PBEsol geometry); E_form = -0.0588 eV/atom; DOS(E_F) = 8.20 states/eV/cell; mass density = 8.8 Mg/m³; final energy = -21.10 eV per atom; magnetization = 4.089 μB per cell; calculated volume = 81.7 Å³/f.u.
1.0
-3.371 0.800 1.905
2.199 -0.893 4.268
0.021 4.516 -1.860
Ni Co La
3 2 1
direct
0.500 0.000 0.500
0.500 0.500 0.000
0.500 0.500 0.500
0.000 0.333 0.667
0.000 0.667 0.333
0.000 0.000 0.000

***

No. 5
La2CoNi (SCAN, PBEsol geometry); E_form = -0.0759 eV/atom; DOS(E_F) = 2.58 states/eV/cell; mass density = 7.8 Mg/m³; relative energy among the computed polymorphs = 39 meV per atom; final energy = -30.00 eV per atom; magnetization = 0.001 μB per cell; calculated volume = 84.0 Å³/f.u.
1.0
3.844 0.000 0.000
0.000 3.970 0.000
-1.922 0.000 5.506
Ni Co La
1 1 2
direct
0.826 0.000 0.653
0.678 0.500 0.357
0.120 0.000 0.240
0.392 0.500 0.785

***

No. 6
La2CoNi (SCAN, PBEsol geometry); E_form = -0.1149 eV/atom; DOS(E_F) = 4.51 states/eV/cell; mass density = 6.8 Mg/m³; relative energy among the computed polymorphs = 0 meV per atom; final energy = -30.04 eV per atom; magnetization = 0.095 μB per cell; calculated volume = 97.2 Å³/f.u.
1.0
-3.645 -0.562 1.444
-2.845 -1.479 -2.326
-0.350 -7.308 1.702
Ni Co La
1 1 2
direct
0.541 0.541 0.376
0.209 0.209 0.374
0.962 0.962 0.114
0.788 0.788 0.636

***

No. 7
La2CoNi (SCAN, PBEsol geometry); E_form = 0.1202 eV/atom; DOS(E_F) = 4.61 states/eV/cell; mass density = 7.5 Mg/m³; relative energy among the computed polymorphs = 235 meV per atom; final energy = -29.80 eV per atom; magnetization = 1.337 μB per cell; calculated volume = 87.4 Å³/f.u.
1.0
-1.016 2.276 -2.288
2.171 -1.292 -2.250
-5.387 -4.837 -2.421
Ni Co La
1 1 2
direct
0.000 0.000 0.568
0.500 0.500 0.671
0.000 0.000 0.911
0.500 0.500 0.350

***

No. 8
LaCoNi4 (SCAN, PBEsol geometry); E_form = -0.1845 eV/atom; DOS(E_F) = 4.12 states/eV/cell; mass density = 8.7 Mg/m³; final energy = -21.03 eV per atom; magnetization = 3.161 μB per cell; calculated volume = 82.2 Å³/f.u.
1.0
-1.612 1.412 -3.283
-0.484 -4.552 -1.720
-3.653 1.923 2.621
Ni Co La
4 1 1
direct
0.000 0.338 0.662
0.000 0.662 0.338
0.500 0.500 0.000
0.500 0.000 0.500
0.500 0.500 0.500
0.000 0.000 0.000

***

No. 9
LaCo2Ni (SCAN, PBEsol geometry); E_form = -0.0392 eV/atom; DOS(E_F) = 3.85 states/eV/cell; mass density = 7.8 Mg/m³; final energy = -23.51 eV per atom; magnetization = 2.598 μB per cell; calculated volume = 66.9 Å³/f.u.
1.0
4.050 0.000 0.000
2.025 3.507 0.000
2.025 1.169 4.713
Ni Co La
1 2 1
direct
0.500 0.500 0.500
0.818 0.818 0.546
0.182 0.182 0.454
0.000 0.000 0.000

***

No. 10
LaCoNi (SCAN, PBEsol geometry); E_form = -0.0357 eV/atom; DOS(E_F) = 2.95 states/eV/cell; mass density = 7.9 Mg/m³; final energy = -25.56 eV per atom; magnetization = 0.103 μB per cell; calculated volume = 54.1 Å³/f.u.
1.0
4.002 0.000 0.000
0.000 3.949 0.000
0.000 -1.975 3.420
Ni Co La
1 1 1
direct
0.500 0.667 0.333
0.500 0.000 0.000
0.000 0.333 0.667

***

No. 11
LaCo2Ni (SCAN, PBEsol geometry); E_form = -0.0726 eV/atom; DOS(E_F) = 3.63 states/eV/cell; mass density = 7.9 Mg/m³; final energy = -23.54 eV per atom; magnetization = 2.870 μB per cell; calculated volume = 66.6 Å³/f.u.
1.0
4.008 0.000 0.000
-2.004 3.470 -0.078
0.000 -2.219 4.841
Ni Co La
1 2 1
direct
0.307 0.614 0.921
0.006 0.012 0.018
0.687 0.374 0.061
0.500 0.000 0.500

***

No. 12
LaCo3Ni2 (SCAN, PBEsol geometry); E_form = -0.0389 eV/atom; DOS(E_F) = 5.52 states/eV/cell; mass density = 8.7 Mg/m³; final energy = -21.27 eV per atom; magnetization = 4.970 μB per cell; calculated volume = 82.4 Å³/f.u.
1.0
-0.029 -3.437 -2.021
2.817 2.005 -3.450
2.047 -2.261 3.816
Ni Co La
2 3 1
direct
0.000 0.667 0.333
0.000 0.333 0.667
0.500 0.000 0.500
0.500 0.500 0.000
0.500 0.500 0.500
0.000 0.000 0.000

***

No. 13
LaCo2Ni (SCAN, PBEsol geometry); E_form = 0.4979 eV/atom; DOS(E_F) = 5.15 states/eV/cell; mass density = 9.3 Mg/m³; final energy = -22.97 eV per atom; magnetization = 2.703 μB per cell; calculated volume = 56.5 Å³/f.u.
1.0
-3.158 -1.599 1.714
2.191 -0.994 3.109
-0.288 4.503 -0.843
Ni Co La
1 2 1
direct
0.000 0.500 0.000
0.750 0.750 0.500
0.250 0.250 0.500
0.500 0.000 0.000

***

No. 14
La2CoNiRu (SCAN, PBEsol geometry); E_form = 0.4237 eV/atom; DOS(E_F) = 3.18 states/eV/cell; mass density = 7.4 Mg/m³; final energy = -30.48 eV per atom; magnetization = 2.580 μB per cell; calculated volume = 112.1 Å³/f.u.
1.0
-0.725 -0.579 -4.041
-3.733 -3.430 1.161
-3.505 3.841 0.078
Ru Co Ni La
1 1 1 2
direct
0.500 0.500 0.500
0.500 0.000 0.000
0.000 0.000 0.000
0.000 0.000 0.500
0.000 0.500 0.000

***

No. 15
LaCoSbPbO6 (SCAN, PBEsol geometry); DOS(E_F) = 0.00 states/eV/cell; mass density = 8.1 Mg/m³; final energy = -23.09 eV per atom; magnetization = 6.003 μB per cell; formation energy without anion corrections = -2.007 eV per atom; calculated volume = 127.1 Å³/f.u.
1.0
5.639 0.000 0.014
0.000 5.673 0.000
0.016 0.000 7.949
La Co Sb Pb O
2 2 2 2 12
direct
0.511 0.207 0.752
0.011 0.793 0.252
0.001 0.257 0.502
0.501 0.743 0.002
0.001 0.256 0.000
0.501 0.744 0.500
0.495 0.269 0.252
0.995 0.731 0.752
0.587 0.744 0.253
0.087 0.256 0.753
0.435 0.773 0.747
0.935 0.227 0.247
0.213 0.544 0.455
0.713 0.456 0.955
0.774 0.967 0.536
0.274 0.033 0.036
0.282 0.022 0.461
0.782 0.978 0.961
0.701 0.459 0.542
0.201 0.541 0.042

***

No. 16
La3CoWS3O6 (SCAN, PBEsol geometry); mass density = 6.9 Mg/m³; final energy = -22.88 eV per atom; magnetization = 0.000 μB per cell; formation energy without anion corrections = -2.700 eV per atom; calculated volume = 203.9 Å³/f.u.
1.0
-2.449 -1.651 -4.612
-1.935 -8.164 3.949
-6.018 7.022 0.682
La Co W S O
6 2 2 6 12
direct
0.250 0.313 0.909
0.250 0.091 0.404
0.250 0.596 0.687
0.750 0.687 0.091
0.750 0.909 0.596
0.750 0.404 0.313
0.500 0.000 0.000
0.000 0.000 0.000
0.750 0.333 0.667
0.250 0.667 0.333
0.750 0.787 0.833
0.750 0.167 0.954
0.750 0.046 0.213
0.250 0.213 0.167
0.250 0.833 0.046
0.250 0.954 0.787
0.523 0.477 0.839
0.523 0.161 0.638
0.523 0.362 0.523
0.023 0.523 0.161
0.023 0.839 0.362
0.023 0.638 0.477
0.477 0.523 0.161
0.477 0.839 0.362
0.477 0.638 0.477
0.977 0.477 0.839
0.977 0.161 0.638
0.977 0.362 0.523

***

No. 17
LaSmCo2O6 (SCAN, PBEsol geometry); mass density = 7.9 Mg/m³; final energy = -18.59 eV per atom; magnetization = 0.002 μB per cell; formation energy without anion corrections = -2.633 eV per atom; calculated volume = 106.1 Å³/f.u.
1.0
7.547 0.000 0.000
0.000 7.547 0.000
0.000 0.000 7.451
La Sm Co O
4 4 8 24
direct
0.500 0.000 0.000
0.500 0.500 0.000
0.000 0.500 0.000
0.000 0.000 0.500
0.000 0.000 0.000
0.500 0.000 0.500
0.500 0.500 0.500
0.000 0.500 0.500
0.250 0.750 0.749
0.250 0.250 0.749
0.750 0.750 0.749
0.750 0.250 0.749
0.250 0.750 0.251
0.250 0.250 0.251
0.750 0.750 0.251
0.750 0.250 0.251
0.218 0.782 0.000
0.218 0.218 0.000
0.782 0.782 0.000
0.782 0.218 0.000
0.281 0.719 0.500
0.281 0.281 0.500
0.719 0.719 0.500
0.719 0.281 0.500
0.500 0.751 0.778
0.500 0.249 0.778
0.000 0.744 0.716
0.000 0.256 0.716
0.500 0.751 0.222
0.500 0.249 0.222
0.000 0.744 0.284
0.000 0.256 0.284
0.256 0.000 0.716
0.249 0.500 0.778
0.744 0.000 0.716
0.751 0.500 0.778
0.256 0.000 0.284
0.249 0.500 0.222
0.744 0.000 0.284
0.751 0.500 0.222

***

No. 18
Sr3LaCo2O8 (SCAN, PBEsol geometry); DOS(E_F) = 5.86 states/eV/cell; mass density = 6.2 Mg/m³; final energy = -16.45 eV per atom; magnetization = 1.028 μB per cell; formation energy without anion corrections = -2.569 eV per atom; calculated volume = 173.8 Å³/f.u.
1.0
-1.137 -5.138 0.695
1.883 0.254 4.961
-6.552 1.393 -0.429
Sr La Co O
3 1 2 8
direct
0.000 0.357 0.713
0.000 0.641 0.281
0.500 0.144 0.287
0.500 0.860 0.720
0.500 0.503 0.005
0.000 0.002 0.005
0.000 0.157 0.315
0.500 0.665 0.331
0.500 0.343 0.685
0.000 0.841 0.681
0.254 0.244 0.994
0.746 0.750 0.994
0.254 0.750 0.994
0.746 0.244 0.994

***

No. 19
SrLa3Ti2Co2O12 (SCAN, PBEsol geometry); DOS(E_F) = 3.29 states/eV/cell; mass density = 6.7 Mg/m³; final energy = -17.77 eV per atom; magnetization = 1.000 μB per cell; formation energy without anion corrections = -3.114 eV per atom; calculated volume = 224.5 Å³/f.u.
1.0
5.418 0.000 0.000
0.000 5.418 0.000
0.000 0.000 7.648
Sr La Ti Co O
1 3 2 2 12
direct
0.500 0.500 0.000
0.000 0.000 0.000
0.500 0.500 0.500
0.000 0.000 0.500
0.000 0.500 0.753
0.500 0.000 0.247
0.500 0.000 0.749
0.000 0.500 0.251
0.249 0.755 0.745
0.751 0.245 0.745
0.245 0.751 0.255
0.755 0.249 0.255
0.249 0.245 0.745
0.751 0.755 0.745
0.245 0.249 0.255
0.755 0.751 0.255
0.500 0.000 0.998
0.000 0.500 0.002
0.500 0.000 0.502
0.000 0.500 0.498

***

No. 20
La2Ti3CoO10 (SCAN, PBEsol geometry); mass density = 5.5 Mg/m³; final energy = -16.61 eV per atom; magnetization = 3.000 μB per cell; formation energy without anion corrections = -3.238 eV per atom; calculated volume = 192.1 Å³/f.u.
1.0
-0.586 2.016 -3.156
-2.483 -2.601 -1.200
-8.353 6.931 8.254
La Ti Co O
2 3 1 10
direct
0.420 0.420 0.839
0.580 0.580 0.161
0.158 0.158 0.317
0.842 0.842 0.683
0.000 0.000 0.000
0.750 0.250 0.500
0.226 0.226 0.452
0.774 0.774 0.548
0.072 0.072 0.145
0.928 0.928 0.855
0.642 0.142 0.283
0.141 0.641 0.283
0.359 0.859 0.717
0.858 0.358 0.717
0.500 0.000 0.001
0.000 0.500 0.999

***

No. 21
La2Ti2CoO8 (SCAN, PBEsol geometry); mass density = 5.6 Mg/m³; final energy = -17.45 eV per atom; magnetization = 3.000 μB per cell; formation energy without anion corrections = -3.183 eV per atom; calculated volume = 167.6 Å³/f.u.
1.0
-1.190 3.105 1.509
-2.652 0.200 -2.502
-7.608 -6.578 7.539
La Ti Co O
2 2 1 8
direct
0.000 0.500 0.884
0.500 0.000 0.116
0.000 0.500 0.298
0.500 0.000 0.702
0.500 0.500 0.500
0.000 0.500 0.442
0.500 0.000 0.558
0.000 0.500 0.074
0.500 0.000 0.926
0.500 0.500 0.748
0.500 0.500 0.252
0.000 0.000 0.253
0.000 0.000 0.747